Entry 1:
The following is a DFT calculation (GGA-PBE) of an optimized crystal structure of NbAs2BrF.

```
5
Lattice="4.998 0.000 0.000 0.000 4.998 0.000 0.000 0.000 5.082" Properties=species:S:1:pos:R:3 pbc="T T T"
Nb 0.000 0.000 0.000
Br 0.000 0.000 2.541
As 2.499 0.000 0.000
F 2.499 2.499 2.541
As 0.000 2.499 0.000
```

E above lowest polymorph   0 meV per atom
Total magnetic moment   0.00 μB per formula unit
DOS(E_F)   4.795 states/eV per cell
Formation energy from raw total energies   -0.064 eV/atom
Crystal system   tetragonal

Entry 2:
The following is a DFT calculation (GGA-PBE) of an optimized crystal structure of NbAs2BrF.

```
5
Lattice="4.296 0.000 0.000 0.000 4.296 0.000 0.000 0.000 5.266" Properties=species:S:1:pos:R:3 pbc="T T T"
As 0.000 2.148 0.000
Br 0.000 0.000 2.633
Nb 2.148 2.148 2.633
F 0.000 0.000 0.000
As 2.148 0.000 0.000
```

E above lowest polymorph   356 meV per atom
Total magnetic moment   1.81 μB per formula unit
DOS(E_F)   3.486 states/eV per cell
Formation energy from raw total energies   0.292 eV/atom
Crystal system   tetragonal